# PBE with a Hubbard U Rb3VTe2O9, optimized geometry
# Total DFT energy (no corrections): -5.39 eV/atom
# D(E_F): 0.085 states/eV per atom
data_Rb3VTe2O9
_space_group_name_H-M_alt 'P -3 m 1'
_space_group_IT_number 164
_space_group_name_Hall '-P 3 2"'
_cell_length_a 5.7701
_cell_length_b 5.7701
_cell_length_c 7.0799
_cell_angle_alpha 90.00
_cell_angle_beta 90.00
_cell_angle_gamma 120.00
loop_
_atom_site_label
_atom_site_type_symbol
_atom_site_fract_x
_atom_site_fract_y
_atom_site_fract_z
_atom_site_occupancy
Rb1 Rb 0.0000 0.0000 0.0000 1
Rb2 Rb 0.3333 0.6667 0.6664 1
V1 V 0.0000 0.0000 0.5000 1
Te1 Te 0.3333 0.6667 0.1745 1
O1 O 0.0000 0.5000 0.0000 1
O2 O 0.1612 0.3224 0.3419 1